4
Lattice="4.746 0.014 0.017 2.360 4.118 0.017 2.344 1.363 7.762" Properties=species:S:1:pos:R:3 comment="AcNdBi2 PBE optimized geometry" ef_mev_per_atom=-967.1 m_tot_mub_per_fu=0.00 density_g_cm3=8.666 volume_a3_per_atom=37.8 relative_energy_mev_per_atom=0 pbc="T T T"
Bi 7.088 4.121 5.959
Bi 2.362 1.373 1.837
Nd 0.000 0.000 0.000
Ac 4.725 2.747 3.898

***

3
Lattice="9.180 0.046 -0.048 8.592 3.230 -0.058 0.587 0.116 3.182" Properties=species:S:1:pos:R:3 comment="KSeBr PBE optimized geometry" m_tot_mub_per_fu=0.00 density_g_cm3=3.527 volume_a3_per_atom=31.1 relative_energy_mev_per_atom=587 e_form_raw_ev_per_atom=-0.391 pbc="T T T"
Se 12.550 2.316 0.893
Br 17.184 3.168 0.007
K 6.398 1.184 2.071

***

Number 2 is which compound? KSeBr